# 1
Entry from Alexandria: a geometry-optimized Pr6Nd3Sm2Tl structure (GGA-PBE).

Geometry as POSCAR:
```
Pr6Nd3Sm2Tl
1.0
3.156 -5.494 0.000
3.156 5.494 0.000
-2.169 0.000 11.874
Pr Nd Sm Tl
6 3 2 1
Direct
0.081 0.407 0.745 Pr
0.244 0.244 0.252 Pr
0.407 0.081 0.745 Pr
0.593 0.919 0.255 Pr
0.756 0.756 0.748 Pr
0.919 0.593 0.255 Pr
0.169 0.831 0.000 Nd
0.500 0.500 0.000 Nd
0.831 0.169 0.000 Nd
0.334 0.666 0.500 Sm
0.666 0.334 0.500 Sm
0.000 0.000 0.500 Tl
```

Results
Its crystal system is monoclinic. The value obtained for the calculated total energy is -4.5847 eV/atom.

=====

# 2
Entry from Alexandria: a geometry-optimized Pr2Nd2SmTm2 structure (GGA-PBE).

Geometry as POSCAR:
```
Pr2Nd2SmTm2
1.0
5.733 -2.565 0.000
5.733 2.565 0.000
-1.157 0.000 8.045
Pr Nd Sm Tm
2 2 1 2
Direct
0.144 0.144 0.428 Pr
0.856 0.856 0.572 Pr
0.429 0.429 0.280 Nd
0.571 0.571 0.720 Nd
0.000 0.000 0.000 Sm
0.285 0.285 0.861 Tm
0.715 0.715 0.139 Tm
```

Results
Its crystal system is monoclinic. The value obtained for the calculated total energy is -4.6595 eV/atom.

=====

# 3
Entry from Alexandria: a geometry-optimized PrNdSm2Tm5 structure (GGA-PBE).

Geometry as POSCAR:
```
PrNdSm2Tm5
1.0
-4.359 4.359 7.657
4.359 -4.359 7.657
4.359 4.359 -7.657
Pr Nd Sm Tm
2 2 4 10
Direct
0.250 0.250 0.000 Pr
0.750 0.750 0.000 Pr
0.250 0.750 0.500 Nd
0.750 0.250 0.500 Nd
0.116 0.616 0.733 Sm
0.384 0.116 0.500 Sm
0.616 0.884 0.500 Sm
0.884 0.384 0.267 Sm
0.000 0.000 0.000 Tm
0.073 0.157 0.500 Tm
0.157 0.657 0.084 Tm
0.343 0.427 0.500 Tm
0.427 0.927 0.084 Tm
0.500 0.500 0.000 Tm
0.573 0.073 0.916 Tm
0.657 0.573 0.500 Tm
0.843 0.343 0.916 Tm
0.927 0.843 0.500 Tm
```

Results
Its crystal system is tetragonal. The value obtained for the calculated total energy is -4.3385 eV/atom.

=====

# 4
Entry from Alexandria: a geometry-optimized PrNdSm2Tm2 structure (GGA-PBE).

Geometry as POSCAR:
```
PrNdSm2Tm2
1.0
6.551 0.000 0.000
0.000 18.231 0.000
0.000 0.000 3.429
Pr Nd Sm Tm
2 2 4 4
Direct
0.000 0.000 0.000 Pr
0.500 0.500 0.500 Pr
0.000 0.500 0.000 Nd
0.500 0.000 0.500 Nd
0.218 0.190 0.000 Sm
0.282 0.690 0.500 Sm
0.718 0.310 0.500 Sm
0.782 0.810 0.000 Sm
0.217 0.352 0.500 Tm
0.283 0.852 0.000 Tm
0.717 0.148 0.000 Tm
0.783 0.648 0.500 Tm
```

Results
Its crystal system is orthorhombic. The value obtained for the calculated total energy is -4.3863 eV/atom.